Entry 1:
Density functional theory data (GGA-PBE) for crystalline Ba2Pm2O5 at its relaxed geometry.

Cell lengths 12.8616, 4.3763, 7.3627 Å; angles 90.00, 124.15, 90.00 degrees
Space group C2/m (No. 12)
Unique sites:
1 Ba 0.1307 0.0000 0.4859 x4
2 Pm 0.1110 0.5000 0.9126 x4
3 O 0.0000 0.5000 0.5000 x2
4 O 0.1161 0.5000 0.2330 x4
5 O 0.1569 0.0000 0.8732 x4

Computed properties:
For the energy relative to the elements, uncorrected, the calculation gives -2.977 eV per atom. For the density, the calculation gives 6.24 g cm⁻³. For the final energy, the calculation gives -7.214 eV/atom. Its total moment is 0.000 μB/cell. For the calculated volume, the calculation gives 343.0 Å³/cell.

---

Entry 2:
Density functional theory data (GGA-PBE) for crystalline TbBe4Pt8 at its relaxed geometry.

Cell lengths 8.5068, 8.5068, 5.1427 Å; angles 90.00, 90.00, 90.00 degrees
Space group I4/mmm (No. 139)
Unique sites:
1 Tb 0.0000 0.0000 0.0000 x2
2 Be 0.2500 0.2500 0.2500 x8
3 Pt 0.0000 0.2258 0.5000 x8
4 Pt 0.0000 0.3328 0.0000 x8

Computed properties:
For the density, the calculation gives 15.67 g cm⁻³. For the final energy, the calculation gives -5.890 eV/atom. Its total moment is 0.000 μB/cell. For the calculated volume, the calculation gives 372.2 Å³/cell.

---

Entry 3:
Density functional theory data (GGA-PBE) for crystalline SrCa3Rh at its relaxed geometry.

Cell lengths 5.9631, 5.9631, 27.0220 Å; angles 90.00, 90.00, 90.00 degrees
Space group I-4m2 (No. 119)
Unique sites:
1 Sr 0.0000 0.0000 0.0000 x2
2 Sr 0.0000 0.5000 0.2500 x2
3 Ca 0.0000 0.0000 0.3067 x4
4 Ca 0.0000 0.2365 0.1371 x8
5 Rh 0.0000 0.5000 0.7033 x4

Computed properties:
For the density, the calculation gives 2.15 g cm⁻³. For the final energy, the calculation gives -2.266 eV/atom. Its total moment is 0.011 μB/cell. Its energy above the most stable polymorph in this dataset is 0.970 eV/atom. For the calculated volume, the calculation gives 960.9 Å³/cell.

---

Entry 4:
Density functional theory data (GGA-PBE) for crystalline CeZrScAl at its relaxed geometry.

Cell lengths 7.1538, 7.1538, 7.1538 Å; angles 90.00, 90.00, 90.00 degrees
Space group F-43m (No. 216)
Unique sites:
1 Ce 0.0000 0.0000 0.0000 x4
2 Zr 0.0000 0.0000 0.5000 x4
3 Sc 0.2500 0.2500 0.2500 x4
4 Al 0.2500 0.2500 0.7500 x4

Computed properties:
For the density, the calculation gives 5.50 g cm⁻³. For the final energy, the calculation gives -6.228 eV/atom. Its total moment is 0.004 μB/cell. For the calculated volume, the calculation gives 366.1 Å³/cell.

---

Entry 5:
Density functional theory data (GGA-PBE) for crystalline CaTaCu2 at its relaxed geometry.

Cell lengths 3.8601, 3.8601, 9.4847 Å; angles 90.00, 90.00, 90.00 degrees
Space group I-4m2 (No. 119)
Unique sites:
1 Ca 0.0000 0.0000 0.0000 x2
2 Ta 0.0000 0.5000 0.2500 x2
3 Cu 0.0000 0.0000 0.5000 x2
4 Cu 0.0000 0.5000 0.7500 x2

Computed properties:
For the density, the calculation gives 8.18 g cm⁻³. For the final energy, the calculation gives -4.936 eV/atom. Its total moment is 0.000 μB/cell. Its energy above the most stable polymorph in this dataset is 0.419 eV/atom. For the calculated volume, the calculation gives 141.3 Å³/cell.

---

Entry 6:
Density functional theory data (GGA-PBE) for crystalline SmZn5Ga7 at its relaxed geometry.

Cell lengths 5.7876, 8.9712, 8.9604 Å; angles 90.00, 90.00, 90.00 degrees
Space group Imm2 (No. 44)
Unique sites:
1 Sm 0.0000 0.0000 0.0000 x2
2 Zn 0.0000 0.5000 0.7222 x2
3 Zn 0.2484 0.2522 0.7514 x8
4 Ga 0.0000 0.0000 0.3556 x2
5 Ga 0.0000 0.0000 0.6490 x2
6 Ga 0.0000 0.2975 0.5023 x4
7 Ga 0.0000 0.3511 0.0003 x4
8 Ga 0.0000 0.5000 0.2803 x2

Computed properties:
For the density, the calculation gives 6.89 g cm⁻³. For the final energy, the calculation gives -2.602 eV/atom. Its total moment is 0.000 μB/cell. For the calculated volume, the calculation gives 465.2 Å³/cell.

---

Entry 7:
Density functional theory data (GGA-PBE) for crystalline CaPm3N4 at its relaxed geometry.

Cell lengths 5.0759, 5.0759, 5.0759 Å; angles 90.00, 90.00, 90.00 degrees
Space group Pm-3m (No. 221)
Unique sites:
1 Ca 0.0000 0.0000 0.0000 x1
2 Pm 0.0000 0.5000 0.5000 x3
3 N 0.0000 0.0000 0.5000 x3
4 N 0.5000 0.5000 0.5000 x1

Computed properties:
For the energy relative to the elements, uncorrected, the calculation gives -1.183 eV per atom. For the density, the calculation gives 6.74 g cm⁻³. For the final energy, the calculation gives -7.377 eV/atom. Its total moment is 0.000 μB/cell. For the calculated volume, the calculation gives 130.8 Å³/cell.